Entry 1:
Material: RbErHgI6
Method: DFT, PBE
State: relaxed

Output
* crystal system: triclinic
* space group: P1, No. 1
* ΔE_f (raw): -1.01 eV per atom

Structure (extended XYZ):
```
9
Lattice="7.888 0.000 0.000 -3.936 6.844 0.000 -0.014 -0.010 8.140" Properties=species:S:1:pos:R:3 pbc="T T T"
Rb 0.000 0.000 0.000
Er -0.004 4.561 4.068
Hg 3.941 2.274 4.071
I -1.452 2.576 5.836
I -2.433 4.293 2.293
I -0.990 6.799 5.843
I 1.448 2.582 2.299
I 2.429 4.287 5.844
I 0.994 6.803 2.301
```

***

Entry 2:
Material: ErIn5Hg8
Method: DFT, PBE
State: relaxed

Output
* DOS(E_F): 5.49 states/eV/f.u.
* crystal system: monoclinic
* E_form: -62 meV/atom
* space group: C2, No. 5

Structure (extended XYZ):
```
14
Lattice="6.221 -4.300 0.000 6.221 4.300 0.000 -5.345 0.000 6.974" Properties=species:S:1:pos:R:3 pbc="T T T"
Er 0.000 0.000 0.000
In -0.859 0.029 3.217
In 3.549 0.601 3.487
In 4.783 -1.462 1.224
In 2.314 -1.462 5.749
In 7.957 0.029 3.756
Hg 1.437 1.991 1.895
Hg -2.349 0.053 6.131
Hg 5.143 1.566 1.090
Hg 1.955 1.566 5.884
Hg 1.749 -1.601 2.242
Hg 5.660 1.991 5.079
Hg 9.446 0.053 0.843
Hg 5.348 -1.601 4.732
```

***

Entry 3:
Material: Er4InHg5
Method: DFT, PBE
State: relaxed

Output
* DOS(E_F): 6.53 states/eV/f.u.
* crystal system: tetragonal
* E_form: -400 meV/atom
* space group: P4/mmm, No. 123

Structure (extended XYZ):
```
10
Lattice="3.724 0.000 0.000 0.000 3.724 0.000 0.000 0.000 17.992" Properties=species:S:1:pos:R:3 pbc="T T T"
Er 0.000 0.000 1.824
Er 0.000 0.000 5.489
Er 0.000 0.000 12.503
Er 0.000 0.000 16.167
In 0.000 0.000 8.996
Hg 1.862 1.862 0.000
Hg 1.862 1.862 3.591
Hg 1.862 1.862 7.185
Hg 1.862 1.862 10.807
Hg 1.862 1.862 14.401
```

***

Entry 4:
Material: Er7InHg4
Method: DFT, PBE
State: relaxed

Output
* DOS(E_F): 8.44 states/eV/f.u.
* crystal system: monoclinic
* E_form: -219 meV/atom
* space group: C2/m, No. 12

Structure (extended XYZ):
```
12
Lattice="7.553 -2.814 0.000 7.553 2.814 0.000 -4.020 0.000 7.830" Properties=species:S:1:pos:R:3 pbc="T T T"
Er 0.000 0.000 0.000
Er 0.589 0.000 5.138
Er 4.553 0.000 0.906
Er 4.020 0.000 4.733
Er 7.066 0.000 3.098
Er 6.534 0.000 6.925
Er 10.498 0.000 2.692
In 7.553 0.000 0.000
Hg -2.311 0.000 5.405
Hg 1.811 0.000 2.363
Hg 9.275 0.000 5.467
Hg 13.398 0.000 2.425
```